No. 1
This record from Alexandria via LeMat-Bulk describes a relaxed structure of RbAuI3. The functional is PBE.

Calculated values
The uncorrected formation energy comes out at -282 kJ/mol of formula units. The calculation puts the volume at 49.59 A^3/atom. The electronic total energy is -2.363 eV per atom.

a = 5.347 Å, b = 9.400 Å, c = 10.414 Å
α = 86.91°, β = 77.25°, γ = 76.27°
Space group P1 (No. 1)
Unique sites:
Rb 0.000 0.000 0.000 (multiplicity 1)
Rb 0.071 0.295 0.560 (multiplicity 1)
Au 0.861 0.943 0.519 (multiplicity 1)
Au 0.917 0.561 0.082 (multiplicity 1)
I 0.098 0.602 0.807 (multiplicity 1)
I 0.206 0.695 0.524 (multiplicity 1)
I 0.305 0.336 0.081 (multiplicity 1)
I 0.512 0.775 0.166 (multiplicity 1)
I 0.573 0.086 0.752 (multiplicity 1)
I 0.718 0.149 0.343 (multiplicity 1)



No. 2
This record from Alexandria via LeMat-Bulk describes a relaxed structure of Sc3Tl5. The functional is PBE.

Calculated values
The calculation puts the calculated formation energy at -142 meV/atom. The calculation puts the volume at 24.49 A^3/atom. The calculation puts the energy above the most stable polymorph in this dataset at 0.44 kcal/mol of atoms. The electronic total energy is -3.996 eV per atom.

a = 9.823 Å, b = 7.852 Å, c = 10.160 Å
α = 90.00°, β = 90.00°, γ = 90.00°
Space group Cmcm (No. 63)
Unique sites:
Sc 0.000 0.083 0.250 (multiplicity 4)
Sc 0.216 0.500 0.000 (multiplicity 8)
Tl 0.000 0.208 0.527 (multiplicity 8)
Tl 0.000 0.487 0.250 (multiplicity 4)
Tl 0.228 0.223 0.750 (multiplicity 8)



No. 3
This record from Alexandria via LeMat-Bulk describes a relaxed structure of Pr3UTe6. The functional is PBE.

Calculated values
The uncorrected formation energy comes out at -1096 kJ/mol of formula units. The calculation puts the volume at 36.69 A^3/atom. The electronic total energy is -5.584 eV per atom.

a = 12.300 Å, b = 15.252 Å, c = 7.824 Å
α = 90.00°, β = 90.00°, γ = 90.00°
Space group Cmc2_1 (No. 36)
Unique sites:
Pr 0.000 0.094 0.000 (multiplicity 4)
Pr 0.185 0.397 0.881 (multiplicity 8)
U 0.000 0.337 0.369 (multiplicity 4)
Te 0.000 0.266 0.736 (multiplicity 4)
Te 0.000 0.496 0.120 (multiplicity 4)
Te 0.166 0.037 0.697 (multiplicity 8)
Te 0.168 0.235 0.166 (multiplicity 8)



No. 4
This record from Alexandria via LeMat-Bulk describes a relaxed structure of Ru3Cl5. The functional is PBE.

Calculated values
The uncorrected formation energy comes out at 310 kJ/mol of formula units. The calculation puts the volume at 20.58 A^3/atom. The calculation puts the energy above the most stable polymorph in this dataset at 0.00 kcal/mol of atoms. The electronic total energy is -4.231 eV per atom.

a = 7.841 Å, b = 12.385 Å, c = 3.391 Å
α = 90.00°, β = 90.00°, γ = 90.00°
Space group Cmmm (No. 65)
Unique sites:
Ru 0.000 0.000 0.000 (multiplicity 2)
Ru 0.000 0.164 0.500 (multiplicity 4)
Cl 0.000 0.500 0.000 (multiplicity 2)
Cl 0.214 0.000 0.500 (multiplicity 4)
Cl 0.250 0.250 0.000 (multiplicity 4)



No. 5
This record from Alexandria via LeMat-Bulk describes a relaxed structure of Cd2GaAu2. The functional is PBE.

Calculated values
The calculation puts the calculated formation energy at -161 meV/atom. The calculation puts the volume at 21.13 A^3/atom. The calculation puts the energy above the most stable polymorph in this dataset at 0.00 kcal/mol of atoms. The electronic total energy is -2.443 eV per atom.

a = 4.579 Å, b = 4.746 Å, c = 9.723 Å
α = 90.00°, β = 90.00°, γ = 90.00°
Space group Pmmn (No. 59, origin choice 2)
Unique sites:
Cd 0.250 0.250 0.003 (multiplicity 2)
Cd 0.250 0.250 0.321 (multiplicity 2)
Ga 0.250 0.250 0.674 (multiplicity 2)
Au 0.250 0.750 0.170 (multiplicity 2)
Au 0.250 0.750 0.508 (multiplicity 2)



No. 6
This record from Alexandria via LeMat-Bulk describes a relaxed structure of Hg2OsW. The functional is PBE.

Calculated values
The calculation puts the calculated formation energy at 922 meV/atom. The calculation puts the volume at 17.67 A^3/atom. The calculation puts the energy above the most stable polymorph in this dataset at 11.90 kcal/mol of atoms. The electronic total energy is -5.275 eV per atom.

a = 2.9319 Å, b = 2.9319 Å, c = 28.4781 Å
α = 90.00°, β = 90.00°, γ = 120.00°
Space group R-3m (No. 166, hexagonal axes)
Unique sites:
Hg 0.0000 0.0000 0.2489 (multiplicity 6)
Os 0.0000 0.0000 0.5000 (multiplicity 3)
W 0.0000 0.0000 0.0000 (multiplicity 3)



No. 7
This record from Alexandria via LeMat-Bulk describes a relaxed structure of LaPrPd4. The functional is PBE.

Calculated values
The calculation puts the calculated formation energy at -771 meV/atom. The calculation puts the volume at 20.32 A^3/atom. The calculation puts the energy above the most stable polymorph in this dataset at 0.55 kcal/mol of atoms. The electronic total energy is -5.851 eV per atom.

a = 7.871 Å, b = 7.871 Å, c = 7.871 Å
α = 90.00°, β = 90.00°, γ = 90.00°
Space group F-43m (No. 216)
Unique sites:
La 0.000 0.000 0.000 (multiplicity 4)
Pr 0.250 0.250 0.250 (multiplicity 4)
Pd 0.125 0.125 0.625 (multiplicity 16)



No. 8
This record from Alexandria via LeMat-Bulk describes a relaxed structure of Ca2YP. The functional is PBE.

Calculated values
The calculation puts the calculated formation energy at -359 meV/atom. The calculation puts the volume at 26.65 A^3/atom. The electronic total energy is -4.328 eV per atom.

a = 4.065 Å, b = 4.065 Å, c = 6.452 Å
α = 90.00°, β = 90.00°, γ = 90.00°
Space group P4/mmm (No. 123)
Unique sites:
Ca 0.000 0.000 0.217 (multiplicity 2)
Y 0.500 0.500 0.500 (multiplicity 1)
P 0.500 0.500 0.000 (multiplicity 1)



No. 9
This record from Alexandria via LeMat-Bulk describes a relaxed structure of CrCd2Co. The functional is PBE.

Calculated values
The calculation puts the calculated formation energy at 451 meV/atom. The calculation puts the volume at 16.68 A^3/atom. The calculation puts the energy above the most stable polymorph in this dataset at 4.41 kcal/mol of atoms. The electronic total energy is -4.189 eV per atom.

a = 4.059 Å, b = 4.059 Å, c = 8.100 Å
α = 90.00°, β = 90.00°, γ = 90.00°
Space group I-4m2 (No. 119)
Unique sites:
Cr 0.000 0.000 0.000 (multiplicity 2)
Cd 0.000 0.000 0.500 (multiplicity 2)
Cd 0.000 0.500 0.750 (multiplicity 2)
Co 0.000 0.500 0.250 (multiplicity 2)



No. 10
This record from Alexandria via LeMat-Bulk describes a relaxed structure of Pm7Ho. The functional is PBE.

Calculated values
The calculation puts the calculated formation energy at 10 meV/atom. The calculation puts the volume at 33.83 A^3/atom. The electronic total energy is -4.719 eV per atom.

a = 10.268 Å, b = 10.268 Å, c = 10.268 Å
α = 90.00°, β = 90.00°, γ = 90.00°
Space group Fm-3m (No. 225)
Unique sites:
Pm 0.000 0.000 0.000 (multiplicity 4)
Pm 0.000 0.250 0.250 (multiplicity 24)
Ho 0.000 0.000 0.500 (multiplicity 4)



No. 11
This record from Alexandria via LeMat-Bulk describes a relaxed structure of Ac2CdSe2O2. The functional is PBE.

Calculated values
The uncorrected formation energy comes out at -1527 kJ/mol of formula units. The calculation puts the volume at 23.32 A^3/atom. The electronic total energy is -5.977 eV per atom.

a = 12.336 Å, b = 4.155 Å, c = 7.449 Å
α = 90.00°, β = 121.22°, γ = 90.00°
Space group C2/m (No. 12)
Unique sites:
Ac 0.193 0.000 0.243 (multiplicity 4)
Cd 0.000 0.000 0.500 (multiplicity 2)
Se 0.058 0.500 0.815 (multiplicity 4)
O 0.207 0.000 0.586 (multiplicity 4)



No. 12
This record from Alexandria via LeMat-Bulk describes a relaxed structure of Sc2Zn. The functional is PBE.

Calculated values
The calculation puts the calculated formation energy at 349 meV/atom. The calculation puts the volume at 22.18 A^3/atom. The electronic total energy is -4.297 eV per atom.

a = 8.104 Å, b = 8.104 Å, c = 8.104 Å
α = 90.00°, β = 90.00°, γ = 90.00°
Space group Fd-3m (No. 227, origin choice 2)
Unique sites:
Sc 0.000 0.000 0.000 (multiplicity 16)
Zn 0.125 0.125 0.625 (multiplicity 8)



No. 13
This record from Alexandria via LeMat-Bulk describes a relaxed structure of Ho2MgCd. The functional is PBE.

Calculated values
The calculation puts the calculated formation energy at -198 meV/atom. The calculation puts the volume at 26.26 A^3/atom. The electronic total energy is -3.114 eV per atom.

a = 5.243 Å, b = 5.243 Å, c = 3.822 Å
α = 90.00°, β = 90.00°, γ = 90.00°
Space group P4/mmm (No. 123)
Unique sites:
Ho 0.000 0.500 0.000 (multiplicity 2)
Mg 0.000 0.000 0.500 (multiplicity 1)
Cd 0.500 0.500 0.500 (multiplicity 1)